[1]
A plane-wave DFT calculation with PBE was carried out for an optimized crystal structure of LaBeP.

Output
energy relative to the elements	-865	meV per atom
relative energy among the computed polymorphs	132.9	meV/atom
final energy	-33.32	eV for the cell shown
volume	20.9	Å³ per atom

Cell and atoms, written as POSCAR:
```
LaBeP
1.0
5.429 -1.918 0.000
5.429 1.918 0.000
-0.189 0.000 6.025
La Be P
2 2 2
Direct
0.142 0.142 0.245
0.858 0.858 0.755
0.427 0.427 0.375
0.573 0.573 0.625
0.145 0.145 0.744
0.855 0.855 0.256
```

[2]
A plane-wave DFT calculation with PBE was carried out for an optimized crystal structure of Th2Al4AgPd3.

Output
energy relative to the elements	-707	meV per atom
final energy	-55.31	eV for the cell shown
volume	19.7	Å³ per atom

Cell and atoms, written as POSCAR:
```
Th2Al4AgPd3
1.0
4.339 0.000 0.000
0.000 4.339 0.000
0.000 0.000 10.462
Th Al Ag Pd
2 4 1 3
Direct
0.000 0.500 0.246
0.500 0.000 0.754
0.000 0.000 0.000
0.000 0.500 0.634
0.500 0.000 0.366
0.500 0.500 0.000
0.000 0.000 0.500
0.000 0.500 0.871
0.500 0.000 0.129
0.500 0.500 0.500
```

[3]
A plane-wave DFT calculation with PBE was carried out for an optimized crystal structure of La2Cu3Pt.

Output
energy relative to the elements	-500	meV per atom
final energy	-31.19	eV for the cell shown
volume	21.5	Å³ per atom

Cell and atoms, written as POSCAR:
```
La2Cu3Pt
1.0
3.896 0.000 0.000
0.000 4.355 0.000
0.000 0.000 7.588
La Cu Pt
2 3 1
Direct
0.000 0.000 0.000
0.000 0.500 0.484
0.500 0.000 0.670
0.500 0.500 0.146
0.500 0.500 0.823
0.500 0.000 0.329
```

| no. | DOS(E_F) (states/eV/cell) | M_tot (μB per formula unit) |
| --- | --- | --- |
| 1 | 2.562 | 0.0 |
| 2 | 9.731 | 0.0 |
| 3 | 5.021 | 0.0 |